(1)
# Ac4ThSn15 | Alexandria via LeMat-Bulk | PBE | relaxed
# - SG: No. 123
# - Energy relative to the elements: -0.487 eV per atom
# - Total DFT energy (no corrections): -4.68 eV/atom
# - DOS at the Fermi energy: 12.89 states/eV/f.u.
data_Ac4ThSn15
_chemical_formula_sum 'Ac4 Th1 Sn15'
_symmetry_space_group_name_H-M 'P 1'
_symmetry_Int_Tables_number 1
_cell_length_a 4.878
_cell_length_b 4.878
_cell_length_c 24.520
_cell_angle_alpha 90.00
_cell_angle_beta 90.00
_cell_angle_gamma 90.00
loop_
_symmetry_equiv_pos_as_xyz
'x,y,z'
loop_
_atom_site_label
_atom_site_type_symbol
_atom_site_fract_x
_atom_site_fract_y
_atom_site_fract_z
Sn1 Sn 0.500 0.500 0.601
Ac1 Ac 0.000 0.000 0.602
Sn2 Sn 0.500 0.000 0.704
Sn3 Sn 0.500 0.000 0.094
Sn4 Sn 0.000 0.500 0.094
Ac2 Ac 0.000 0.000 0.194
Sn5 Sn 0.500 0.500 0.000
Ac3 Ac 0.000 0.000 0.806
Sn6 Sn 0.000 0.500 0.704
Sn7 Sn 0.000 0.500 0.500
Ac4 Ac 0.000 0.000 0.398
Sn8 Sn 0.500 0.000 0.296
Sn9 Sn 0.500 0.000 0.906
Sn10 Sn 0.500 0.500 0.399
Sn11 Sn 0.000 0.500 0.296
Sn12 Sn 0.500 0.500 0.803
Sn13 Sn 0.500 0.000 0.500
Sn14 Sn 0.000 0.500 0.906
Sn15 Sn 0.500 0.500 0.197
Th1 Th 0.000 0.000 0.000



(2)
# AcTh2Sn | Alexandria via LeMat-Bulk | PBE | relaxed
# - SG: No. 123
# - Energy relative to the elements: -0.184 eV per atom
# - Total DFT energy (no corrections): -5.92 eV/atom
# - DOS at the Fermi energy: 4.94 states/eV/f.u.
data_AcTh2Sn
_chemical_formula_sum 'Ac1 Th2 Sn1'
_symmetry_space_group_name_H-M 'P 1'
_symmetry_Int_Tables_number 1
_cell_length_a 4.091
_cell_length_b 4.091
_cell_length_c 8.023
_cell_angle_alpha 90.00
_cell_angle_beta 90.00
_cell_angle_gamma 90.00
loop_
_symmetry_equiv_pos_as_xyz
'x,y,z'
loop_
_atom_site_label
_atom_site_type_symbol
_atom_site_fract_x
_atom_site_fract_y
_atom_site_fract_z
Th1 Th 0.000 0.000 0.796
Sn1 Sn 0.500 0.500 0.000
Ac1 Ac 0.500 0.500 0.500
Th2 Th 0.000 0.000 0.204



(3)
# AcThSn | Alexandria via LeMat-Bulk | PBE | relaxed
# - SG: No. 129
# - Energy relative to the elements: -0.490 eV per atom
# - Total DFT energy (no corrections): -5.67 eV/atom
# - DOS at the Fermi energy: 3.16 states/eV/f.u.
data_AcThSn
_chemical_formula_sum 'Ac2 Th2 Sn2'
_symmetry_space_group_name_H-M 'P 1'
_symmetry_Int_Tables_number 1
_cell_length_a 4.778
_cell_length_b 4.778
_cell_length_c 9.250
_cell_angle_alpha 90.00
_cell_angle_beta 90.00
_cell_angle_gamma 90.00
loop_
_symmetry_equiv_pos_as_xyz
'x,y,z'
loop_
_atom_site_label
_atom_site_type_symbol
_atom_site_fract_x
_atom_site_fract_y
_atom_site_fract_z
Th1 Th 0.500 0.500 0.500
Sn1 Sn 0.000 0.500 0.240
Th2 Th 0.000 0.000 0.500
Ac1 Ac 0.000 0.500 0.856
Ac2 Ac 0.500 0.000 0.144
Sn2 Sn 0.500 0.000 0.760



(4)
# Ac3ThSn2 | Alexandria via LeMat-Bulk | PBE | relaxed
# - SG: No. 72
# - Energy relative to the elements: -0.466 eV per atom
# - Total DFT energy (no corrections): -5.09 eV/atom
# - DOS at the Fermi energy: 6.92 states/eV/f.u.
data_Ac3ThSn2
_chemical_formula_sum 'Ac6 Th2 Sn4'
_symmetry_space_group_name_H-M 'P 1'
_symmetry_Int_Tables_number 1
_cell_length_a 6.949
_cell_length_b 6.924
_cell_length_c 10.433
_cell_angle_alpha 109.38
_cell_angle_beta 109.45
_cell_angle_gamma 90.00
loop_
_symmetry_equiv_pos_as_xyz
'x,y,z'
loop_
_atom_site_label
_atom_site_type_symbol
_atom_site_fract_x
_atom_site_fract_y
_atom_site_fract_z
Ac1 Ac 0.073 0.824 0.647
Ac2 Ac 0.927 0.176 0.353
Sn1 Sn 0.106 0.365 0.731
Th1 Th 0.000 0.750 0.000
Sn2 Sn 0.625 0.865 0.731
Sn3 Sn 0.894 0.635 0.269
Th2 Th 0.000 0.250 0.000
Ac3 Ac 0.574 0.324 0.647
Ac4 Ac 0.426 0.676 0.353
Ac5 Ac 0.500 0.750 0.000
Ac6 Ac 0.500 0.250 0.000
Sn4 Sn 0.375 0.135 0.269



(5)
# Ac7ThSn4 | Alexandria via LeMat-Bulk | PBE | relaxed
# - SG: No. 12
# - Energy relative to the elements: -0.163 eV per atom
# - Total DFT energy (no corrections): -4.51 eV/atom
# - DOS at the Fermi energy: 11.45 states/eV/f.u.
data_Ac7ThSn4
_chemical_formula_sum 'Ac7 Th1 Sn4'
_symmetry_space_group_name_H-M 'P 1'
_symmetry_Int_Tables_number 1
_cell_length_a 6.357
_cell_length_b 10.071
_cell_length_c 8.265
_cell_angle_alpha 77.37
_cell_angle_beta 67.38
_cell_angle_gamma 71.60
loop_
_symmetry_equiv_pos_as_xyz
'x,y,z'
loop_
_atom_site_label
_atom_site_type_symbol
_atom_site_fract_x
_atom_site_fract_y
_atom_site_fract_z
Ac1 Ac 0.500 0.000 0.000
Ac2 Ac 0.790 0.899 0.522
Ac3 Ac 0.703 0.356 0.238
Ac4 Ac 0.297 0.644 0.762
Sn1 Sn 0.306 0.334 0.054
Sn2 Sn 0.451 0.749 0.349
Sn3 Sn 0.694 0.666 0.946
Ac5 Ac 0.210 0.101 0.478
Sn4 Sn 0.549 0.251 0.651
Ac6 Ac 0.938 0.372 0.753
Ac7 Ac 0.062 0.628 0.247
Th1 Th 0.000 0.000 0.000



(6)
# Ac8ThSn6 | Alexandria via LeMat-Bulk | PBE | relaxed
# - SG: No. 148
# - Energy relative to the elements: -0.484 eV per atom
# - Total DFT energy (no corrections): -4.77 eV/atom
# - DOS at the Fermi energy: 10.20 states/eV/f.u.
data_Ac8ThSn6
_chemical_formula_sum 'Ac8 Th1 Sn6'
_symmetry_space_group_name_H-M 'P 1'
_symmetry_Int_Tables_number 1
_cell_length_a 9.770
_cell_length_b 9.770
_cell_length_c 9.045
_cell_angle_alpha 57.31
_cell_angle_beta 57.31
_cell_angle_gamma 60.00
loop_
_symmetry_equiv_pos_as_xyz
'x,y,z'
loop_
_atom_site_label
_atom_site_type_symbol
_atom_site_fract_x
_atom_site_fract_y
_atom_site_fract_z
Ac1 Ac 0.335 0.335 0.996
Sn1 Sn 0.611 0.935 0.194
Ac2 Ac 0.105 0.444 0.682
Sn2 Sn 0.935 0.259 0.194
Sn3 Sn 0.065 0.741 0.806
Sn4 Sn 0.741 0.389 0.806
Ac3 Ac 0.444 0.769 0.682
Ac4 Ac 0.556 0.231 0.318
Ac5 Ac 0.665 0.665 0.004
Ac6 Ac 0.769 0.105 0.682
Ac7 Ac 0.895 0.556 0.318
Ac8 Ac 0.231 0.895 0.318
Sn5 Sn 0.259 0.611 0.194
Th1 Th 0.000 0.000 0.000
Sn6 Sn 0.389 0.065 0.806



Number 1: spin magnetization 0.0 μB/cell. Number 2: spin magnetization 0.0 μB/cell. Number 3: spin magnetization 1.1 μB/cell. Number 4: spin magnetization 0.7 μB/cell. Number 5: spin magnetization 0.0 μB/cell. Number 6: spin magnetization 0.0 μB/cell.